No. 1
GGA-PBEsol BaTc2Ag, relaxed; formation energy = 0.691 eV/atom; SG = C2/m
1.0
-0.421 -3.066 -2.098
-1.743 -0.699 4.703
-4.431 2.583 -2.885
Ag Ba Tc
1 1 2
Direct
0.500 0.000 0.000
0.000 0.000 0.500
0.773 0.546 0.905
0.227 0.454 0.095


No. 2
GGA-PBEsol AlAs2Br, relaxed; E_tot = -4.05 eV/atom; SG = Pm
1.0
-3.345 -1.030 -1.033
1.066 -4.788 1.323
-2.018 2.723 3.819
As Al Br
2 1 1
Direct
0.000 0.999 0.004
0.500 0.791 0.208
0.500 0.236 0.760
0.000 0.474 0.528


no.,magnetization (μB per cell),calculated volume (Å³/cell)
1,0.0,99.53
2,0.0,87.15